Record 1
This record from Alexandria describes crystalline LiGe2N3 at its relaxed geometry. The functional is PBE-GGA.

- Electronic total energy: -146.8 eV for the cell shown
- Total magnetic moment: 0.00 Bohr magnetons per cell

Lattice parameters (Å, degrees): 17.223 3.176 5.681 90.00 91.84 90.00
Space group C2/m (No. 12)
One atom of each set of equivalent atoms:
Li (0.096, 0.000, 0.178)
Ge (0.057, 0.500, 0.644)
Ge (0.212, 0.000, 0.833)
N (0.049, 0.500, 0.315)
N (0.108, 0.000, 0.775)
N (0.231, 0.000, 0.189)

***

Record 2
This record from Alexandria describes crystalline LiGe2N2 at its relaxed geometry. The functional is PBE-GGA.

- Electronic total energy: -52.7 eV for the cell shown
- Total magnetic moment: 0.00 Bohr magnetons per cell

Lattice parameters (Å, degrees): 3.971 3.971 7.838 90.00 90.00 90.00
Space group I4/mmm (No. 139)
One atom of each set of equivalent atoms:
Li (0.000, 0.000, 0.000)
Ge (0.000, 0.000, 0.335)
N (0.000, 0.500, 0.250)

***

Record 3
This record from Alexandria describes crystalline LiGe2N3 at its relaxed geometry. The functional is PBE-GGA.

- Electronic total energy: -151.5 eV for the cell shown
- Total magnetic moment: 0.00 Bohr magnetons per cell

Lattice parameters (Å, degrees): 5.482 9.611 5.411 90.00 108.59 90.00
Space group Cc (No. 9)
One atom of each set of equivalent atoms:
Li (0.000, 0.078, 0.000)
Ge (0.007, 0.249, 0.503)
Ge (0.485, 0.084, 0.501)
N (0.099, 0.420, 0.373)
N (0.137, 0.099, 0.387)
N (0.138, 0.265, 0.877)

***

Record 4
This record from Alexandria describes crystalline LiNb4GeN8 at its relaxed geometry. The functional is PBE-GGA.

- Electronic total energy: -364.8 eV for the cell shown
- Total magnetic moment: 0.00 Bohr magnetons per cell

Lattice parameters (Å, degrees): 6.1876 6.1876 14.9764 90.00 90.00 120.00
Space group R3m (No. 160, hexagonal axes)
One atom of each set of equivalent atoms:
Li (0.0000, 0.0000, 0.0000)
Nb (0.0000, 0.0000, 0.6194)
Nb (0.1692, 0.3385, 0.8325)
Ge (0.0000, 0.0000, 0.3813)
N (0.0000, 0.0000, 0.2516)
N (0.0000, 0.0000, 0.7539)
N (0.9996, 0.4998, 0.7579)
N (0.1737, 0.3474, 0.5789)

***

| no. | ΔE_f (raw) (eV/atom) |
| --- | --- |
| 1 | -0.0962 |
| 2 | 0.2930 |
| 3 | -0.2927 |
| 4 | -0.5853 |